[1]
Crystalline Ga2Tc2Mo at its relaxed geometry, computed with PBE-GGA.

abc: 6.8905 6.8905 3.1363
angles: 90.00 90.00 90.00
Fractional coordinates of all 10 atoms:
1 Ga 0.1357 0.3643 0.0000
2 Ga 0.3643 0.8643 0.0000
3 Ga 0.6357 0.1357 0.0000
4 Ga 0.8643 0.6357 0.0000
5 Tc 0.1624 0.6624 0.5000
6 Tc 0.3376 0.1624 0.5000
7 Tc 0.6624 0.8376 0.5000
8 Tc 0.8376 0.3376 0.5000
9 Mo 0.0000 0.0000 0.0000
10 Mo 0.5000 0.5000 0.0000

**E_tot**: -7.47 eV/atom
**Polymorph energy (0 for the lowest one)**: 0 meV per atom
**Symmetry**: P4/mbm (127)
**Crystal system**: tetragonal

[2]
Crystalline GaTc2Mo at its relaxed geometry, computed with PBE-GGA.

abc: 3.9357 3.9357 7.7113
angles: 90.00 90.00 90.00
Fractional coordinates of all 8 atoms:
1 Ga 0.0000 0.0000 0.0000
2 Ga 0.5000 0.5000 0.5000
3 Tc 0.0000 0.5000 0.2500
4 Tc 0.0000 0.5000 0.7500
5 Tc 0.5000 0.0000 0.2500
6 Tc 0.5000 0.0000 0.7500
7 Mo 0.0000 0.0000 0.5000
8 Mo 0.5000 0.5000 0.0000

**E_tot**: -8.62 eV/atom
**Symmetry**: I4/mmm (139)
**Crystal system**: tetragonal

[3]
Crystalline GaTc3Mo at its relaxed geometry, computed with PBE-GGA.

abc: 4.4455 4.4455 4.4455
angles: 90.00 90.00 90.00
Fractional coordinates of all 5 atoms:
1 Ga 0.0000 0.0000 0.0000
2 Tc 0.0000 0.0000 0.5000
3 Tc 0.0000 0.5000 0.0000
4 Tc 0.5000 0.0000 0.0000
5 Mo 0.5000 0.5000 0.5000

**E_tot**: -7.49 eV/atom
**Polymorph energy (0 for the lowest one)**: 0 meV per atom
**Symmetry**: Pm-3m (221)
**Crystal system**: cubic

[4]
Crystalline GaTc2Mo at its relaxed geometry, computed with PBE-GGA.

abc: 4.9146 2.8180 8.8562
angles: 90.00 100.65 90.00
Fractional coordinates of all 8 atoms:
1 Ga 0.0000 0.0000 0.0000
2 Ga 0.5000 0.5000 0.0000
3 Tc 0.0849 0.5000 0.7534
4 Tc 0.4165 0.0000 0.2495
5 Tc 0.5849 0.0000 0.7534
6 Tc 0.9165 0.5000 0.2495
7 Mo 0.1703 0.0000 0.5008
8 Mo 0.6703 0.5000 0.5008

**E_tot**: -8.58 eV/atom
**Symmetry**: Cm (8)
**Crystal system**: monoclinic